## Cs2BeTc (GGA-PBEsol)

Data for Cs2BeTc after structural relaxation.

abc: 8.195 8.195 8.195
angles: 90.00 90.00 90.00
Space group Fm-3m (No. 225)
Unique sites:
Cs 0.250 0.250 0.250 x8
Be 0.000 0.000 0.000 x4
Tc 0.000 0.000 0.500 x4

Output
E_form = 1929.5 meV per atom

***

## HfPt3F (GGA-PBEsol)

Data for HfPt3F after structural relaxation.

abc: 4.858 4.858 4.858
angles: 90.00 90.00 90.00
Space group Pm-3m (No. 221)
Unique sites:
Hf 0.000 0.000 0.000 x1
Pt 0.000 0.000 0.500 x3
F 0.500 0.500 0.500 x1

Output
Energy relative to the elements, uncorrected = 961.4 meV/atom

***

## Zn4InS6 (GGA-PBEsol)

Data for Zn4InS6 after structural relaxation.

abc: 3.7775 3.7775 17.8540
angles: 90.00 90.00 120.00
Space group P-3m1 (No. 164)
Unique sites:
Zn 0.3333 0.6667 0.1161 x2
Zn 0.3333 0.6667 0.7087 x2
In 0.0000 0.0000 0.5000 x1
S 0.3333 0.6667 0.2482 x2
S 0.3333 0.6667 0.5792 x2
S 0.3333 0.6667 0.9250 x2

Output
Energy relative to the elements, uncorrected = -610.2 meV/atom

***

## YMn3Tc (GGA-PBEsol)

Data for YMn3Tc after structural relaxation.

abc: 4.577 4.577 4.577
angles: 90.00 90.00 90.00
Space group Pm-3m (No. 221)
Unique sites:
Y 0.000 0.000 0.000 x1
Mn 0.000 0.000 0.500 x3
Tc 0.500 0.500 0.500 x1

Output
Relative energy among the computed polymorphs = 7.140 eV per formula unit
E_form = 2264.6 meV per atom

***

## AlAg3 (GGA-PBEsol)

Data for AlAg3 after structural relaxation.

abc: 2.8976 2.8976 8.9454
angles: 90.00 90.00 120.00
Space group P-6m2 (No. 187)
Unique sites:
Al 0.0000 0.0000 0.0000 x1
Ag 0.0000 0.0000 0.5000 x1
Ag 0.6667 0.3333 0.2386 x2

Output
E_form = -60.9 meV per atom

***

## AlPt2W (GGA-PBEsol)

Data for AlPt2W after structural relaxation.

abc: 3.871 3.871 7.917
angles: 90.00 90.00 90.00
Space group I4/mmm (No. 139)
Unique sites:
Al 0.000 0.000 0.000 x2
Pt 0.000 0.500 0.250 x4
W 0.000 0.000 0.500 x2

Output
E_form = -285.7 meV per atom

***

## TcIr2Pt (GGA-PBEsol)

Data for TcIr2Pt after structural relaxation.

abc: 2.702 3.867 5.432
angles: 90.00 90.00 90.00
Space group Pmm2 (No. 25)
Unique sites:
Tc 0.000 0.000 0.000 x1
Ir 0.000 0.000 0.487 x1
Ir 0.500 0.500 0.236 x1
Pt 0.500 0.500 0.745 x1

Output
Relative energy among the computed polymorphs = 0.202 eV per formula unit
E_form = -85.9 meV per atom

***

## CaSn2RhSe (GGA-PBEsol)

Data for CaSn2RhSe after structural relaxation.

abc: 5.495 5.495 4.504
angles: 90.00 90.00 90.00
Space group P4/mmm (No. 123)
Unique sites:
Ca 0.000 0.000 0.000 x1
Sn 0.000 0.500 0.500 x2
Rh 0.500 0.500 0.000 x1
Se 0.500 0.500 0.500 x1

Output
Energy relative to the elements, uncorrected = 92.8 meV/atom

***

## ScRu2Br (GGA-PBEsol)

Data for ScRu2Br after structural relaxation.

abc: 3.392 3.037 13.716
angles: 90.00 90.00 90.00
Space group Amm2 (No. 38)
Unique sites:
Sc 0.000 0.000 0.000 x2
Ru 0.000 0.000 0.203 x2
Ru 0.500 0.000 0.627 x2
Br 0.500 0.000 0.374 x2

Output
Relative energy among the computed polymorphs = 0.000 eV per formula unit
Energy relative to the elements, uncorrected = -60.3 meV/atom

***

## Mg7Si8O22F2 (GGA-PBEsol)

Data for Mg7Si8O22F2 after structural relaxation.

abc: 5.322 9.388 17.899
angles: 90.00 90.00 90.00
Space group Pnnm (No. 58)
Unique sites:
Mg 0.000 0.000 0.000 x2
Mg 0.000 0.000 0.177 x4
Mg 0.000 0.500 0.240 x4
Mg 0.000 0.500 0.412 x4
Si 0.172 0.207 0.328 x8
Si 0.175 0.286 0.085 x8
O 0.055 0.649 0.136 x8
O 0.063 0.845 0.380 x8
O 0.144 0.346 0.000 x4
O 0.167 0.112 0.085 x8
O 0.170 0.381 0.326 x8
O 0.183 0.122 0.251 x8
F 0.164 0.397 0.500 x4

Output
Energy relative to the elements, uncorrected = -2898.6 meV/atom

***

Number 1: Fermi-level density of states 3.4 states/eV/f.u., magnetization 3.16 μB per formula unit. Number 2: Fermi-level density of states 2.6 states/eV/f.u., magnetization 0.00 μB per formula unit. Number 3: Fermi-level density of states 4.0 states/eV/f.u., magnetization 0.00 μB per formula unit. Number 4: Fermi-level density of states 6.1 states/eV/f.u., magnetization 12.31 μB per formula unit. Number 5: Fermi-level density of states 1.2 states/eV/f.u., magnetization 0.00 μB per formula unit. Number 6: Fermi-level density of states 3.5 states/eV/f.u., magnetization 0.00 μB per formula unit. Number 7: Fermi-level density of states 4.3 states/eV/f.u., magnetization 0.00 μB per formula unit. Number 8: Fermi-level density of states 4.3 states/eV/f.u., magnetization 0.00 μB per formula unit. Number 9: Fermi-level density of states 4.0 states/eV/f.u., magnetization 0.00 μB per formula unit. Number 10: Fermi-level density of states 0.0 states/eV/f.u., magnetization 0.00 μB per formula unit.